(1)
Material: Hf2VAu
Method: DFT, GGA-PBE
State: relaxed

Structure (extended XYZ):
```
4
Lattice="-4.6947 -0.5534 0.2547 -2.3094 -2.2519 -3.4651 -1.8386 -4.2920 0.7808" Properties=species:S:1:pos:R:3 pbc="T T T"
V 0.0000 0.0000 0.0000
Au -4.4213 -3.5487 -1.2148
Hf -6.6320 -5.3230 -1.8222
Hf -2.2107 -1.7743 -0.6074
```

Results
Density of states at the Fermi level = 4.8 states/eV per cell
ΔE_f = -0.405 eV per formula unit
Symmetry = Fm-3m (225)


(2)
Material: Hf2VAu
Method: DFT, GGA-PBE
State: relaxed

Structure (extended XYZ):
```
4
Lattice="3.3003 0.0000 0.0000 0.0000 3.3003 0.0000 0.0000 0.0000 6.8528" Properties=species:S:1:pos:R:3 pbc="T T T"
Au 1.6502 1.6502 3.4264
Hf 0.0000 0.0000 1.5965
Hf 0.0000 0.0000 5.2562
V 1.6502 1.6502 0.0000
```

Results
Density of states at the Fermi level = 4.9 states/eV per cell
ΔE_f = -0.917 eV per formula unit
Symmetry = P4/mmm (123)


(3)
Material: Hf2VAu
Method: DFT, GGA-PBE
State: relaxed

Structure (extended XYZ):
```
8
Lattice="-1.5607 -1.4941 -3.5139 3.8107 -0.3683 -1.5358 1.6951 -9.9291 1.0477" Properties=species:S:1:pos:R:3 pbc="T T T"
Hf 3.2314 -9.0756 -3.6292
V 3.3154 -5.6143 -1.5065
Au 0.6297 -6.1772 -2.4955
V 1.1250 -0.9312 -2.5249
Au 0.0000 0.0000 0.0000
Hf 2.6068 -2.9027 -1.1452
Hf 2.1238 -8.1461 -1.1114
Hf -0.0717 -3.4587 -2.1182
```

Results
Density of states at the Fermi level = 7.5 states/eV per cell
ΔE_f = 1.768 eV per formula unit
Symmetry = I-42d (122)


(4)
Material: HfV4Au
Method: DFT, GGA-PBE
State: relaxed

Structure (extended XYZ):
```
6
Lattice="5.0845 0.0000 0.0000 2.5422 4.4033 0.0000 2.5422 1.4678 4.1515" Properties=species:S:1:pos:R:3 pbc="T T T"
V 6.3848 3.6862 2.6066
Hf 0.0000 0.0000 0.0000
Au 2.5422 1.4678 1.0379
V 3.7842 3.6862 2.6066
V 5.0845 2.9355 0.4832
V 5.0845 1.4341 2.6066
```

Results
Density of states at the Fermi level = 8.1 states/eV per cell
ΔE_f = -0.020 eV per formula unit
Symmetry = F-43m (216)


(5)
Material: HfV2Au
Method: DFT, GGA-PBE
State: relaxed

Structure (extended XYZ):
```
4
Lattice="0.7619 3.0795 3.2103 -3.1657 0.8589 3.1000 0.6169 -1.3037 4.2766" Properties=species:S:1:pos:R:3 pbc="T T T"
V -1.3402 1.9760 7.9402
Hf 0.0000 0.0000 0.0000
V -0.4467 0.6587 2.6467
Au -0.8934 1.3173 5.2935
```

Results
Density of states at the Fermi level = 6.0 states/eV per cell
ΔE_f = 0.659 eV per formula unit
Symmetry = Fm-3m (225)


(6)
Material: HfV2Au
Method: DFT, GGA-PBE
State: relaxed

Structure (extended XYZ):
```
8
Lattice="7.3369 0.0000 0.0000 0.0000 7.3369 0.0000 3.6685 3.6685 2.6786" Properties=species:S:1:pos:R:3 pbc="T T T"
Au 7.3369 3.6685 1.3393
Au 0.0000 0.0000 0.0000
V 1.7045 5.5027 0.6696
V 9.1711 9.3008 2.0089
V 5.6324 1.8342 0.6696
Hf 3.6685 3.6685 0.0000
Hf 3.6685 7.3369 1.3393
V 5.5027 5.3730 2.0089
```

Results
Density of states at the Fermi level = 10.4 states/eV per cell
ΔE_f = 1.930 eV per formula unit
Symmetry = I-42d (122)